{
  "formula": "Na2FePd2O6",
  "functional": "GGA+U",
  "state": "relaxed",
  "lattice_angstrom": [[5.3564, 0.0355, 0.0332], [-2.6165, 4.6739, 0.0332], [-0.9951, -1.7105, 5.4679]],
  "species": ["Na", "Na", "Fe", "Pd", "Pd", "O", "O", "O", "O", "O", "O"],
  "fractional_positions": [[0.8284, 0.1716, 0.0000], [0.1716, 0.8284, 0.0000], [0.0000, 0.0000, 0.5000], [0.3355, 0.6645, 0.5000], [0.6645, 0.3355, 0.5000], [0.7447, 0.7447, 0.6919], [0.0553, 0.3944, 0.6936], [0.2553, 0.2553, 0.3081], [0.3944, 0.0553, 0.6936], [0.9447, 0.6056, 0.3064], [0.6056, 0.9447, 0.3064]],
  "total_energy_ev_per_atom": -5.3967,
  "vol_a3_per_cell": 138,
  "sg": "C2/m",
  "rho_g_cm3": 4.94
}